(1)
The following is a PBE-GGA calculation of Sc2TiCu6 after structural relaxation, from Alexandria. Values from VASP.

Computed properties:
formation enthalpy at 0 K	-0.117	eV per atom
crystal system	monoclinic

Structure (Quantum ESPRESSO input):
```
&SYSTEM
  ibrav = 0, nat = 9, ntyp = 3
/
ATOMIC_SPECIES
Sc 44.96 Sc.upf
Ti 47.87 Ti.upf
Cu 63.55 Cu.upf
CELL_PARAMETERS angstrom
2.3364 -7.0652 0.0000
2.3364 7.0652 0.0000
-2.2555 0.0000 4.0576
ATOMIC_POSITIONS angstrom
Sc 2.3364 4.7469 0.0000
Sc 2.3364 -4.7469 0.0000
Ti -1.1278 0.0000 2.0288
Cu 0.0574 2.2910 2.6788
Cu 1.2281 0.0000 0.7296
Cu 0.0574 -2.2910 2.6788
Cu 2.3600 2.2910 1.3788
Cu 1.1893 0.0000 3.3281
Cu 2.3600 -2.2910 1.3788
```

(2)
The following is a PBE-GGA calculation of ScTlCu after structural relaxation, from Alexandria. Values from VASP.

Computed properties:
formation enthalpy at 0 K	0.024	eV per atom
crystal system	trigonal

Structure (Quantum ESPRESSO input):
```
&SYSTEM
  ibrav = 0, nat = 3, ntyp = 3
/
ATOMIC_SPECIES
Sc 44.96 Sc.upf
Tl 204.38 Tl.upf
Cu 63.55 Cu.upf
CELL_PARAMETERS angstrom
3.4969 0.0000 0.0000
-1.7484 3.0284 0.0000
0.0000 0.0000 6.1433
ATOMIC_POSITIONS angstrom
Sc 0.0000 0.0000 0.0000
Tl 1.7484 1.0095 2.4489
Cu 0.0000 2.0189 4.4099
```

(3)
The following is a PBE-GGA calculation of ScTl3Cu after structural relaxation, from Alexandria. Values from VASP.

Computed properties:
formation enthalpy at 0 K	0.788	eV per atom
energy relative to the lowest polymorph listed for this composition	458	meV/atom
crystal system	cubic

Structure (Quantum ESPRESSO input):
```
&SYSTEM
  ibrav = 0, nat = 5, ntyp = 3
/
ATOMIC_SPECIES
Sc 44.96 Sc.upf
Tl 204.38 Tl.upf
Cu 63.55 Cu.upf
CELL_PARAMETERS angstrom
5.6617 0.0000 0.0000
0.0000 5.6617 0.0000
0.0000 0.0000 5.6617
ATOMIC_POSITIONS angstrom
Sc 0.0000 0.0000 0.0000
Tl 0.0000 0.0000 2.8308
Tl 0.0000 2.8308 0.0000
Tl 2.8308 0.0000 0.0000
Cu 2.8308 2.8308 2.8308
```

(4)
The following is a PBE-GGA calculation of ScTlCu after structural relaxation, from Alexandria. Values from VASP.

Computed properties:
formation enthalpy at 0 K	-0.077	eV per atom
crystal system	monoclinic

Structure (Quantum ESPRESSO input):
```
&SYSTEM
  ibrav = 0, nat = 3, ntyp = 3
/
ATOMIC_SPECIES
Sc 44.96 Sc.upf
Tl 204.38 Tl.upf
Cu 63.55 Cu.upf
CELL_PARAMETERS angstrom
5.8145 -1.6387 0.0000
5.8145 1.6387 0.0000
-0.9145 0.0000 3.1469
ATOMIC_POSITIONS angstrom
Sc 0.0000 0.0000 0.0000
Tl 7.5136 0.0000 2.2049
Cu 3.8681 0.0000 1.1333
```

(5)
The following is a PBE-GGA calculation of Sc6TlCu2 after structural relaxation, from Alexandria. Values from VASP.

Computed properties:
formation enthalpy at 0 K	-0.202	eV per atom
crystal system	orthorhombic

Structure (Quantum ESPRESSO input):
```
&SYSTEM
  ibrav = 0, nat = 18, ntyp = 3
/
ATOMIC_SPECIES
Sc 44.96 Sc.upf
Tl 204.38 Tl.upf
Cu 63.55 Cu.upf
CELL_PARAMETERS angstrom
-4.5157 4.5265 4.7298
4.5157 -4.5265 4.7298
4.5157 4.5265 -4.7298
ATOMIC_POSITIONS angstrom
Sc 4.5157 -2.6129 3.0076
Sc 2.5747 0.0000 2.2351
Sc 6.4568 0.0000 2.2351
Sc 2.8263 2.5885 0.0000
Sc 6.2052 2.5885 0.0000
Sc 0.0000 1.9137 1.7222
Sc 4.5157 2.6129 3.0076
Sc -1.6895 1.9380 4.7298
Sc 1.6895 1.9380 4.7298
Sc -1.9410 4.5265 2.4947
Sc 1.9410 4.5265 2.4947
Sc 0.0000 7.1394 1.7222
Tl 4.5157 0.0000 0.0000
Tl 0.0000 4.5265 0.0000
Cu 1.2373 0.0000 0.0000
Cu 7.7942 0.0000 0.0000
Cu 0.0000 0.0000 3.5168
Cu 0.0000 0.0000 5.9428
```

(6)
The following is a PBE-GGA calculation of Sc6Tl5Cu after structural relaxation, from Alexandria. Values from VASP.

Computed properties:
formation enthalpy at 0 K	-0.244	eV per atom
crystal system	orthorhombic

Structure (Quantum ESPRESSO input):
```
&SYSTEM
  ibrav = 0, nat = 12, ntyp = 3
/
ATOMIC_SPECIES
Sc 44.96 Sc.upf
Tl 204.38 Tl.upf
Cu 63.55 Cu.upf
CELL_PARAMETERS angstrom
2.5291 -7.5853 0.0000
2.5291 7.5853 0.0000
0.0000 0.0000 7.0627
ATOMIC_POSITIONS angstrom
Sc 0.0000 0.0000 1.6850
Sc 0.0000 0.0000 5.3777
Sc 2.5291 2.4335 1.7046
Sc 2.5291 2.4335 5.3581
Sc 2.5291 -2.4335 1.7046
Sc 2.5291 -2.4335 5.3581
Tl 2.5291 5.0964 0.0000
Tl 2.5291 5.0243 3.5313
Tl 2.5291 0.0000 3.5313
Tl 2.5291 -5.0243 3.5313
Tl 2.5291 -5.0964 0.0000
Cu 2.5291 0.0000 0.0000
```

(7)
The following is a PBE-GGA calculation of ScTl3Cu after structural relaxation, from Alexandria. Values from VASP.

Computed properties:
formation enthalpy at 0 K	0.330	eV per atom
energy relative to the lowest polymorph listed for this composition	0	meV/atom
crystal system	cubic

Structure (Quantum ESPRESSO input):
```
&SYSTEM
  ibrav = 0, nat = 5, ntyp = 3
/
ATOMIC_SPECIES
Sc 44.96 Sc.upf
Tl 204.38 Tl.upf
Cu 63.55 Cu.upf
CELL_PARAMETERS angstrom
5.1350 0.0000 0.0000
0.0000 5.1350 0.0000
0.0000 0.0000 5.1350
ATOMIC_POSITIONS angstrom
Sc 0.0000 0.0000 0.0000
Tl 0.0000 2.5675 2.5675
Tl 2.5675 0.0000 2.5675
Tl 2.5675 2.5675 0.0000
Cu 2.5675 2.5675 2.5675
```

(8)
The following is a PBE-GGA calculation of ScTlCu after structural relaxation, from Alexandria. Values from VASP.

Computed properties:
formation enthalpy at 0 K	-0.152	eV per atom
crystal system	trigonal

Structure (Quantum ESPRESSO input):
```
&SYSTEM
  ibrav = 0, nat = 3, ntyp = 3
/
ATOMIC_SPECIES
Sc 44.96 Sc.upf
Tl 204.38 Tl.upf
Cu 63.55 Cu.upf
CELL_PARAMETERS angstrom
4.5938 0.0000 0.0000
-2.2969 3.9784 0.0000
0.0000 0.0000 3.2463
ATOMIC_POSITIONS angstrom
Sc 0.0000 0.0000 0.0000
Tl 2.2969 1.3261 1.6252
Cu 0.0000 2.6522 1.6132
```

(9)
The following is a PBE-GGA calculation of Sc5TlCu after structural relaxation, from Alexandria. Values from VASP.

Computed properties:
formation enthalpy at 0 K	0.026	eV per atom
crystal system	monoclinic

Structure (Quantum ESPRESSO input):
```
&SYSTEM
  ibrav = 0, nat = 14, ntyp = 3
/
ATOMIC_SPECIES
Sc 44.96 Sc.upf
Tl 204.38 Tl.upf
Cu 63.55 Cu.upf
CELL_PARAMETERS angstrom
5.1071 -3.1246 0.0000
5.1071 3.1246 0.0000
-3.0095 0.0000 10.2312
ATOMIC_POSITIONS angstrom
Sc 2.8500 2.8273 7.6734
Sc 0.4268 1.0143 6.5587
Sc 0.8765 0.9174 9.6544
Sc 1.9316 -1.0143 1.4431
Sc 4.8236 0.9174 5.6924
Sc 2.3812 -0.9174 4.5388
Sc 5.2732 1.0143 8.7881
Sc 6.3283 -0.9174 0.5768
Sc 6.7779 -1.0143 3.6725
Sc 4.3547 -2.8273 2.5578
Tl 4.3547 0.4315 2.5578
Tl 2.8500 -0.4315 7.6734
Cu 0.0000 0.0000 0.0000
Cu -1.5047 0.0000 5.1156
```

(10)
The following is a PBE-GGA calculation of Sc4TlCu2 after structural relaxation, from Alexandria. Values from VASP.

Computed properties:
formation enthalpy at 0 K	0.030	eV per atom
crystal system	trigonal

Structure (Quantum ESPRESSO input):
```
&SYSTEM
  ibrav = 0, nat = 7, ntyp = 3
/
ATOMIC_SPECIES
Sc 44.96 Sc.upf
Tl 204.38 Tl.upf
Cu 63.55 Cu.upf
CELL_PARAMETERS angstrom
2.2712 1.3113 8.8366
-2.2712 1.3113 8.8366
0.0000 -2.6226 8.8366
ATOMIC_POSITIONS angstrom
Sc 0.0000 0.0000 2.9538
Sc 0.0000 0.0000 7.9271
Sc 0.0000 0.0000 18.5828
Sc 0.0000 0.0000 23.5561
Tl 0.0000 0.0000 13.2549
Cu 0.0000 0.0000 10.5881
Cu 0.0000 0.0000 15.9218
```

(11)
The following is a PBE-GGA calculation of ScTlCu after structural relaxation, from Alexandria. Values from VASP.

Computed properties:
formation enthalpy at 0 K	0.314	eV per atom
crystal system	cubic

Structure (Quantum ESPRESSO input):
```
&SYSTEM
  ibrav = 0, nat = 3, ntyp = 3
/
ATOMIC_SPECIES
Sc 44.96 Sc.upf
Tl 204.38 Tl.upf
Cu 63.55 Cu.upf
CELL_PARAMETERS angstrom
0.0000 3.2860 3.2860
3.2860 0.0000 3.2860
3.2860 3.2860 0.0000
ATOMIC_POSITIONS angstrom
Sc 0.0000 0.0000 0.0000
Tl 1.6430 1.6430 1.6430
Cu 4.9290 4.9290 4.9290
```

(12)
The following is a PBE-GGA calculation of ScTl2Cu2 after structural relaxation, from Alexandria. Values from VASP.

Computed properties:
formation enthalpy at 0 K	0.078	eV per atom
energy relative to the lowest polymorph listed for this composition	0	meV/atom
crystal system	tetragonal

Structure (Quantum ESPRESSO input):
```
&SYSTEM
  ibrav = 0, nat = 10, ntyp = 3
/
ATOMIC_SPECIES
Sc 44.96 Sc.upf
Tl 204.38 Tl.upf
Cu 63.55 Cu.upf
CELL_PARAMETERS angstrom
7.1190 0.0000 0.0000
0.0000 7.1190 0.0000
0.0000 0.0000 3.9633
ATOMIC_POSITIONS angstrom
Sc 0.0000 0.0000 0.0000
Sc 3.5595 3.5595 0.0000
Tl 1.3188 2.2407 1.9817
Tl 2.2407 5.8002 1.9817
Tl 4.8783 1.3188 1.9817
Tl 5.8002 4.8783 1.9817
Cu 0.8545 4.4140 0.0000
Cu 2.7050 0.8545 0.0000
Cu 4.4140 6.2646 0.0000
Cu 6.2646 2.7050 0.0000
```